Model i:
# MoWCl2

A geometry-optimized MoWCl2 structure (PBE, Alexandria via LeMat-Bulk).

Lattice parameters (Å, degrees): 2.9606 3.3602 8.8761 90.76 90.00 90.00
Last column: nearest neighbours and their distance in Å.
Element x y z (fractional)
Mo: 0.0000 0.3716 0.5384  2 Cl 2.42
W: 0.5000 0.8777 0.7113  2 Cl 2.42, 4 Mo 2.71
Cl: 0.0000 0.8863 0.9275  2 W 2.42
Cl: 0.5000 0.3645 0.3228  2 Mo 2.42

Summary:
Theoretical density   6.595 g/cm³
Volume   88 Å³ per cell

Model ii:
# MoWCl2

A geometry-optimized MoWCl2 structure (PBE, Alexandria via LeMat-Bulk).

Lattice parameters (Å, degrees): 4.8738 4.8738 4.8738 130.46 130.46 72.67
Last column: nearest neighbours and their distance in Å.
Element x y z (fractional)
Mo: 0.5000 0.5000 0.0000  4 W 2.83, 8 Cl 2.83-2.89
W: 0.7500 0.2500 0.5000  8 Cl 2.83-2.89, 4 Mo 2.83
Cl: 0.0000 0.0000 0.0000  4 Cl 2.83, 4 W 2.83, 4 Mo 2.89
Cl: 0.2500 0.7500 0.5000  4 Cl 2.83, 4 Mo 2.83, 4 W 2.89

Summary:
Theoretical density   8.893 g/cm³
Volume   65 Å³ per cell

Model iii:
# MoWCl2

A geometry-optimized MoWCl2 structure (PBE, Alexandria via LeMat-Bulk).

Lattice parameters (Å, degrees): 8.6621 8.6621 8.6621 19.83 19.83 19.83
Last column: nearest neighbours and their distance in Å.
Element x y z (fractional)
Mo: 0.5000 0.5000 0.5000  6 Cl 2.52
W: 0.0000 0.0000 0.0000  2 Cl 2.40
Cl: 0.9057 0.9057 0.9057  1 W 2.40, 3 Mo 2.52
Cl: 0.0943 0.0943 0.0943  1 W 2.40, 3 Mo 2.52

Summary:
Theoretical density   8.897 g/cm³
Volume   65 Å³ per cell

It comes down to model i, which is 748 meV per atom more stable than the next structure.